Entry 1:
Ca9Zn4Bi9 (PBE-GGA, optimized geometry); total magnetization = 0.0 μB/f.u.; total energy = -145.06 eV per cell; energy relative to the elements = -14.49 eV/f.u.
1.0
4.688 0.000 0.000
0.000 12.741 0.000
0.000 0.000 22.232
Ca Bi Zn
18 18 8
direct
0.000 0.425 0.088
0.000 0.925 0.412
0.000 0.628 0.363
0.000 0.370 0.265
0.500 0.799 0.601
0.000 0.372 0.637
0.500 0.000 0.000
0.000 0.870 0.235
0.000 0.075 0.588
0.000 0.128 0.137
0.000 0.872 0.863
0.000 0.630 0.735
0.500 0.299 0.899
0.500 0.201 0.399
0.500 0.500 0.500
0.500 0.701 0.101
0.000 0.575 0.912
0.000 0.130 0.765
0.000 0.690 0.511
0.000 0.109 0.307
0.500 0.000 0.500
0.500 0.194 0.670
0.500 0.050 0.856
0.000 0.891 0.693
0.500 0.500 0.000
0.500 0.950 0.144
0.000 0.391 0.807
0.500 0.550 0.644
0.000 0.810 0.011
0.500 0.806 0.330
0.500 0.450 0.356
0.000 0.609 0.193
0.500 0.306 0.170
0.000 0.310 0.489
0.000 0.190 0.989
0.500 0.694 0.830
0.500 0.268 0.046
0.500 0.232 0.546
0.500 0.108 0.237
0.500 0.392 0.737
0.500 0.732 0.954
0.500 0.768 0.454
0.500 0.608 0.263
0.500 0.892 0.763

***

Entry 2:
CaZnBi2 (PBE-GGA, optimized geometry); total magnetization = 0.0 μB/f.u.; total energy = -11.72 eV per cell; energy relative to the elements = -0.69 eV/f.u.
1.0
-0.865 -3.177 2.262
2.778 -2.793 0.667
3.228 2.244 7.914
Ca Bi Zn
1 2 1
direct
0.500 0.500 0.500
0.737 0.737 0.790
0.263 0.263 0.210
0.000 0.000 0.000

***

Entry 3:
CaZrBi2 (PBE-GGA, optimized geometry); total magnetization = 0.6 μB/f.u.; total energy = -19.57 eV per cell; energy relative to the elements = -1.26 eV/f.u.
1.0
0.000 3.813 3.813
3.813 0.000 3.813
3.813 3.813 0.000
Bi Zr Ca
2 1 1
direct
0.250 0.250 0.250
0.750 0.750 0.750
0.500 0.500 0.500
0.000 0.000 0.000